[1]
! Hf2BeNiOs (PBE, relaxed); values from VASP
! ΔE_f in eV/atom: 0.307
! D(E_F) in states/eV per cell: 3.0
&SYSTEM
  ibrav = 0, nat = 5, ntyp = 4
/
ATOMIC_SPECIES
Hf 178.49 Hf.upf
Os 190.23 Os.upf
Be 9.01 Be.upf
Ni 58.69 Ni.upf
CELL_PARAMETERS angstrom
4.740 0.000 0.000
0.000 3.773 0.000
0.000 0.000 4.740
ATOMIC_POSITIONS crystal
Hf 0.000 0.000 0.500
Hf 0.500 0.000 0.000
Os 0.500 0.500 0.500
Be 0.000 0.500 0.000
Ni 0.000 0.000 0.000

---

[2]
! HfBeNiPd (PBE, relaxed); values from VASP
! ΔE_f in eV/atom: -0.403
! D(E_F) in states/eV per cell: 3.4
&SYSTEM
  ibrav = 0, nat = 4, ntyp = 4
/
ATOMIC_SPECIES
Ni 58.69 Ni.upf
Hf 178.49 Hf.upf
Pd 106.42 Pd.upf
Be 9.01 Be.upf
CELL_PARAMETERS angstrom
-2.535 -3.390 0.854
1.658 -3.518 1.877
-1.026 -0.955 4.085
ATOMIC_POSITIONS crystal
Ni 0.250 0.250 0.250
Hf 0.000 0.000 0.000
Pd 0.750 0.750 0.750
Be 0.500 0.500 0.500

---

[3]
! Hf2BeNiSb (PBE, relaxed); values from VASP
! Energy relative to the elements, uncorrected in eV/atom: 0.519
! D(E_F) in states/eV per cell: 2.7
&SYSTEM
  ibrav = 0, nat = 5, ntyp = 4
/
ATOMIC_SPECIES
Sb 121.76 Sb.upf
Hf 178.49 Hf.upf
Be 9.01 Be.upf
Ni 58.69 Ni.upf
CELL_PARAMETERS angstrom
4.786 0.000 0.000
0.000 4.613 0.000
0.000 0.000 4.786
ATOMIC_POSITIONS crystal
Sb 0.000 0.500 0.000
Hf 0.000 0.000 0.500
Hf 0.500 0.000 0.000
Be 0.500 0.500 0.500
Ni 0.000 0.000 0.000

---

[4]
! Hf2BeNiSn (PBE, relaxed); values from VASP
! ΔE_f in eV/atom: 0.036
! D(E_F) in states/eV per cell: 3.2
&SYSTEM
  ibrav = 0, nat = 5, ntyp = 4
/
ATOMIC_SPECIES
Ni 58.69 Ni.upf
Hf 178.49 Hf.upf
Sn 118.71 Sn.upf
Be 9.01 Be.upf
CELL_PARAMETERS angstrom
4.671 0.000 0.000
0.000 4.088 0.000
0.000 0.000 4.671
ATOMIC_POSITIONS crystal
Ni 0.000 0.500 0.000
Hf 0.000 0.000 0.500
Hf 0.500 0.000 0.000
Sn 0.500 0.500 0.500
Be 0.000 0.000 0.000

---

[5]
! HfTiBeNi (PBE, relaxed); values from VASP
! ΔE_f in eV/atom: -0.162
! D(E_F) in states/eV per cell: 4.5
&SYSTEM
  ibrav = 0, nat = 4, ntyp = 4
/
ATOMIC_SPECIES
Ni 58.69 Ni.upf
Hf 178.49 Hf.upf
Be 9.01 Be.upf
Ti 47.87 Ti.upf
CELL_PARAMETERS angstrom
4.366 0.000 0.000
2.183 3.781 0.000
2.183 1.260 3.565
ATOMIC_POSITIONS crystal
Ni 0.500 0.500 0.500
Hf 0.750 0.750 0.750
Be 0.000 0.000 0.000
Ti 0.250 0.250 0.250

---

[6]
! HfBeZnNi (PBE, relaxed); values from VASP
! ΔE_f in eV/atom: -0.249
! D(E_F) in states/eV per cell: 1.7
&SYSTEM
  ibrav = 0, nat = 4, ntyp = 4
/
ATOMIC_SPECIES
Ni 58.69 Ni.upf
Zn 65.41 Zn.upf
Hf 178.49 Hf.upf
Be 9.01 Be.upf
CELL_PARAMETERS angstrom
4.239 0.000 0.000
2.120 3.671 0.000
2.120 1.224 3.461
ATOMIC_POSITIONS crystal
Ni 0.250 0.250 0.250
Zn 0.000 0.000 0.000
Hf 0.500 0.500 0.500
Be 0.750 0.750 0.750

---

[7]
! Hf2Be2ZnNi5 (PBE, relaxed); values from VASP
! ΔE_f in eV/atom: -0.426
! D(E_F) in states/eV per cell: 13.8
&SYSTEM
  ibrav = 0, nat = 20, ntyp = 4
/
ATOMIC_SPECIES
Hf 178.49 Hf.upf
Be 9.01 Be.upf
Zn 65.41 Zn.upf
Ni 58.69 Ni.upf
CELL_PARAMETERS angstrom
3.283 0.000 0.000
0.000 8.697 0.000
0.000 0.000 8.697
ATOMIC_POSITIONS crystal
Hf 0.000 0.680 0.180
Hf 0.000 0.320 0.820
Hf 0.000 0.180 0.320
Hf 0.000 0.820 0.680
Be 0.000 0.114 0.614
Be 0.000 0.886 0.386
Be 0.000 0.614 0.886
Be 0.000 0.386 0.114
Zn 0.000 0.000 0.000
Zn 0.000 0.500 0.500
Ni 0.500 0.218 0.066
Ni 0.500 0.782 0.934
Ni 0.500 0.066 0.782
Ni 0.500 0.718 0.434
Ni 0.500 0.934 0.218
Ni 0.500 0.282 0.566
Ni 0.500 0.566 0.718
Ni 0.500 0.434 0.282
Ni 0.500 0.500 0.000
Ni 0.500 0.000 0.500

---

[8]
! HfZrBeNi (PBE, relaxed); values from VASP
! ΔE_f in eV/atom: -0.152
! D(E_F) in states/eV per cell: 5.0
&SYSTEM
  ibrav = 0, nat = 4, ntyp = 4
/
ATOMIC_SPECIES
Ni 58.69 Ni.upf
Hf 178.49 Hf.upf
Zr 91.22 Zr.upf
Be 9.01 Be.upf
CELL_PARAMETERS angstrom
4.509 0.000 0.000
2.255 3.905 0.000
2.255 1.302 3.682
ATOMIC_POSITIONS crystal
Ni 0.250 0.250 0.250
Hf 0.500 0.500 0.500
Zr 0.000 0.000 0.000
Be 0.750 0.750 0.750

---

[9]
! HfNpBe4 (PBE, relaxed); values from VASP
! ΔE_f in eV/atom: 0.171
! D(E_F) in states/eV per cell: 6.9
&SYSTEM
  ibrav = 0, nat = 6, ntyp = 3
/
ATOMIC_SPECIES
Np 237.00 Np.upf
Be 9.01 Be.upf
Hf 178.49 Hf.upf
CELL_PARAMETERS angstrom
-1.626 4.531 -0.383
-3.399 1.078 -3.256
-4.475 1.090 1.452
ATOMIC_POSITIONS crystal
Np 0.250 0.250 0.250
Be 0.626 0.626 0.122
Be 0.626 0.122 0.626
Be 0.626 0.626 0.626
Be 0.122 0.626 0.626
Hf 0.000 0.000 0.000

---

[10]
! HfBe3O (PBE, relaxed); values from VASP
! Energy relative to the elements, uncorrected in eV/atom: 2.278
! Polymorph energy (0 for the lowest one) in eV per atom: 2.293
! D(E_F) in states/eV per cell: 2.7
&SYSTEM
  ibrav = 0, nat = 5, ntyp = 3
/
ATOMIC_SPECIES
Be 9.01 Be.upf
Hf 178.49 Hf.upf
O 16.00 O.upf
CELL_PARAMETERS angstrom
4.838 0.000 0.000
0.000 4.838 0.000
0.000 0.000 4.838
ATOMIC_POSITIONS crystal
Be 0.000 0.500 0.000
Be 0.000 0.000 0.500
Be 0.500 0.000 0.000
Hf 0.000 0.000 0.000
O 0.500 0.500 0.500

---

[11]
! HfBe2O4 (PBE, relaxed); values from VASP
! Energy relative to the elements, uncorrected in eV/atom: -2.762
! D(E_F) in states/eV per cell: 0.0
&SYSTEM
  ibrav = 0, nat = 7, ntyp = 3
/
ATOMIC_SPECIES
Hf 178.49 Hf.upf
Be 9.01 Be.upf
O 16.00 O.upf
CELL_PARAMETERS angstrom
-1.232 -1.807 -3.285
3.304 1.110 -1.850
2.081 -3.909 1.370
ATOMIC_POSITIONS crystal
Hf 0.000 0.000 0.000
Be 0.500 0.000 0.500
Be 0.000 0.500 0.500
O 0.748 0.252 0.703
O 0.252 0.252 0.297
O 0.252 0.748 0.703
O 0.748 0.748 0.297

---

[12]
! HfBeO3 (PBE, relaxed); values from VASP
! Energy relative to the elements, uncorrected in eV/atom: -3.041
! D(E_F) in states/eV per cell: 0.0
&SYSTEM
  ibrav = 0, nat = 10, ntyp = 3
/
ATOMIC_SPECIES
Hf 178.49 Hf.upf
Be 9.01 Be.upf
O 16.00 O.upf
CELL_PARAMETERS angstrom
-1.615 2.742 0.085
-1.227 -0.552 -5.496
-4.979 -2.965 1.056
ATOMIC_POSITIONS crystal
Hf 0.750 0.419 0.240
Hf 0.250 0.581 0.760
Be 0.750 0.079 0.621
Be 0.250 0.921 0.379
O 0.750 0.362 0.626
O 0.250 0.954 0.663
O 0.750 0.675 0.951
O 0.250 0.638 0.374
O 0.250 0.325 0.049
O 0.750 0.046 0.337

---

[13]
! Hf2BeO (PBE, relaxed); values from VASP
! Energy relative to the elements, uncorrected in eV/atom: -0.793
! Polymorph energy (0 for the lowest one) in eV per atom: 0.000
! D(E_F) in states/eV per cell: 2.3
&SYSTEM
  ibrav = 0, nat = 8, ntyp = 3
/
ATOMIC_SPECIES
Be 9.01 Be.upf
Hf 178.49 Hf.upf
O 16.00 O.upf
CELL_PARAMETERS angstrom
5.083 0.000 0.000
0.000 5.083 0.000
2.542 2.542 5.357
ATOMIC_POSITIONS crystal
Be 0.500 0.500 0.000
Be 0.250 0.750 0.500
Hf 0.681 0.125 0.250
Hf 0.069 0.625 0.250
Hf 0.375 0.319 0.750
Hf 0.875 0.931 0.750
O 0.000 0.000 0.000
O 0.750 0.250 0.500

---

[14]
! HfBeO2 (PBE, relaxed); values from VASP
! Energy relative to the elements, uncorrected in eV/atom: -2.003
! D(E_F) in states/eV per cell: 1.4
&SYSTEM
  ibrav = 0, nat = 8, ntyp = 3
/
ATOMIC_SPECIES
Be 9.01 Be.upf
Hf 178.49 Hf.upf
O 16.00 O.upf
CELL_PARAMETERS angstrom
4.567 0.000 0.000
0.000 4.567 0.000
2.284 2.284 4.196
ATOMIC_POSITIONS crystal
Be 0.500 0.500 0.000
Be 0.250 0.750 0.500
Hf 0.000 0.000 0.000
Hf 0.750 0.250 0.500
O 0.532 0.125 0.250
O 0.218 0.625 0.250
O 0.375 0.468 0.750
O 0.875 0.782 0.750

---

[15]
! HfBeO3 (PBE, relaxed); values from VASP
! Energy relative to the elements, uncorrected in eV/atom: -1.685
! D(E_F) in states/eV per cell: 0.6
&SYSTEM
  ibrav = 0, nat = 5, ntyp = 3
/
ATOMIC_SPECIES
Be 9.01 Be.upf
Hf 178.49 Hf.upf
O 16.00 O.upf
CELL_PARAMETERS angstrom
-3.614 1.734 0.285
-0.590 -0.583 -3.932
-1.656 -3.578 0.778
ATOMIC_POSITIONS crystal
Be 0.500 0.500 0.500
Hf 0.000 0.000 0.000
O 0.000 0.500 0.000
O 0.000 0.000 0.500
O 0.500 0.000 0.000

---

[16]
! HfBe2O (PBE, relaxed); values from VASP
! Energy relative to the elements, uncorrected in eV/atom: -0.473
! D(E_F) in states/eV per cell: 3.4
&SYSTEM
  ibrav = 0, nat = 8, ntyp = 3
/
ATOMIC_SPECIES
Be 9.01 Be.upf
Hf 178.49 Hf.upf
O 16.00 O.upf
CELL_PARAMETERS angstrom
5.302 0.000 0.000
0.000 5.302 0.000
2.651 2.651 3.647
ATOMIC_POSITIONS crystal
Be 0.450 0.125 0.250
Be 0.300 0.625 0.250
Be 0.375 0.550 0.750
Be 0.875 0.700 0.750
Hf 0.000 0.000 0.000
Hf 0.750 0.250 0.500
O 0.500 0.500 0.000
O 0.250 0.750 0.500

---

[17]
! Hf3BeO (PBE, relaxed); values from VASP
! Energy relative to the elements, uncorrected in eV/atom: -0.799
! Polymorph energy (0 for the lowest one) in eV per atom: 0.000
! D(E_F) in states/eV per cell: 1.9
&SYSTEM
  ibrav = 0, nat = 5, ntyp = 3
/
ATOMIC_SPECIES
Be 9.01 Be.upf
Hf 178.49 Hf.upf
O 16.00 O.upf
CELL_PARAMETERS angstrom
4.340 0.000 0.000
0.000 4.340 0.000
0.000 0.000 4.340
ATOMIC_POSITIONS crystal
Be 0.500 0.500 0.500
Hf 0.000 0.500 0.000
Hf 0.000 0.000 0.500
Hf 0.500 0.000 0.000
O 0.000 0.000 0.000

---

[18]
! HfBeO2 (PBE, relaxed); values from VASP
! Energy relative to the elements, uncorrected in eV/atom: -2.049
! D(E_F) in states/eV per cell: 1.2
&SYSTEM
  ibrav = 0, nat = 4, ntyp = 3
/
ATOMIC_SPECIES
Be 9.01 Be.upf
Hf 178.49 Hf.upf
O 16.00 O.upf
CELL_PARAMETERS angstrom
-2.657 2.481 4.889
-3.820 -0.261 4.739
-1.142 0.157 5.982
ATOMIC_POSITIONS crystal
Be 0.000 0.000 0.000
Hf 0.500 0.500 0.500
O 0.916 0.916 0.916
O 0.084 0.084 0.084

---

[19]
! HfBe3O (PBE, relaxed); values from VASP
! Energy relative to the elements, uncorrected in eV/atom: -0.015
! Polymorph energy (0 for the lowest one) in eV per atom: 0.000
! D(E_F) in states/eV per cell: 7.0
&SYSTEM
  ibrav = 0, nat = 5, ntyp = 3
/
ATOMIC_SPECIES
Be 9.01 Be.upf
Hf 178.49 Hf.upf
O 16.00 O.upf
CELL_PARAMETERS angstrom
3.820 0.000 0.000
0.000 3.820 0.000
0.000 0.000 3.820
ATOMIC_POSITIONS crystal
Be 0.000 0.500 0.000
Be 0.000 0.000 0.500
Be 0.500 0.000 0.000
Hf 0.500 0.500 0.500
O 0.000 0.000 0.000

---

[20]
! HfBeO2 (PBE, relaxed); values from VASP
! Energy relative to the elements, uncorrected in eV/atom: -1.799
! D(E_F) in states/eV per cell: 0.4
&SYSTEM
  ibrav = 0, nat = 4, ntyp = 3
/
ATOMIC_SPECIES
Be 9.01 Be.upf
Hf 178.49 Hf.upf
O 16.00 O.upf
CELL_PARAMETERS angstrom
1.704 0.000 5.802
-0.852 1.475 5.802
-0.852 -1.475 5.802
ATOMIC_POSITIONS crystal
Be 0.500 0.500 0.500
Hf 0.000 0.000 0.000
O 0.887 0.887 0.887
O 0.113 0.113 0.113

---

[21]
! Hf2BeO (PBE, relaxed); values from VASP
! Energy relative to the elements, uncorrected in eV/atom: -0.351
! Polymorph energy (0 for the lowest one) in eV per atom: 0.442
! D(E_F) in states/eV per cell: 0.4
&SYSTEM
  ibrav = 0, nat = 4, ntyp = 3
/
ATOMIC_SPECIES
Be 9.01 Be.upf
Hf 178.49 Hf.upf
O 16.00 O.upf
CELL_PARAMETERS angstrom
2.965 -1.130 2.914
-0.890 0.295 4.205
-0.536 -3.574 2.344
ATOMIC_POSITIONS crystal
Be 0.000 0.000 0.000
Hf 0.250 0.250 0.250
Hf 0.750 0.750 0.750
O 0.500 0.500 0.500

---

[22]
! Hf2BeO (PBE, relaxed); values from VASP
! Energy relative to the elements, uncorrected in eV/atom: -0.475
! Polymorph energy (0 for the lowest one) in eV per atom: 0.318
! D(E_F) in states/eV per cell: 2.0
&SYSTEM
  ibrav = 0, nat = 4, ntyp = 3
/
ATOMIC_SPECIES
Be 9.01 Be.upf
Hf 178.49 Hf.upf
O 16.00 O.upf
CELL_PARAMETERS angstrom
-1.189 1.594 2.183
-2.880 0.650 -0.047
-3.032 -6.365 4.994
ATOMIC_POSITIONS crystal
Be 0.000 0.000 0.000
Hf 0.105 0.105 0.685
Hf 0.895 0.895 0.315
O 0.500 0.500 0.500

---

[23]
! HfBeO3 (PBE, relaxed); values from VASP
! Energy relative to the elements, uncorrected in eV/atom: -2.466
! D(E_F) in states/eV per cell: 0.0
&SYSTEM
  ibrav = 0, nat = 5, ntyp = 3
/
ATOMIC_SPECIES
Be 9.01 Be.upf
Hf 178.49 Hf.upf
O 16.00 O.upf
CELL_PARAMETERS angstrom
3.407 0.000 0.000
0.000 3.407 0.000
0.000 0.000 3.407
ATOMIC_POSITIONS crystal
Be 0.000 0.000 0.000
Hf 0.500 0.500 0.500
O 0.000 0.500 0.000
O 0.000 0.000 0.500
O 0.500 0.000 0.000

---

[24]
! Hf2BePO (PBE, relaxed); values from VASP
! Energy relative to the elements, uncorrected in eV/atom: -1.054
! D(E_F) in states/eV per cell: 3.4
&SYSTEM
  ibrav = 0, nat = 5, ntyp = 4
/
ATOMIC_SPECIES
P 30.97 P.upf
Hf 178.49 Hf.upf
O 16.00 O.upf
Be 9.01 Be.upf
CELL_PARAMETERS angstrom
4.494 0.000 0.000
0.000 3.310 0.000
0.000 0.000 4.494
ATOMIC_POSITIONS crystal
P 0.500 0.500 0.500
Hf 0.000 0.000 0.500
Hf 0.500 0.000 0.000
O 0.000 0.000 0.000
Be 0.000 0.500 0.000

---

[25]
! HfBeP2O (PBE, relaxed); values from VASP
! Energy relative to the elements, uncorrected in eV/atom: -0.564
! Polymorph energy (0 for the lowest one) in eV per atom: 0.000
! D(E_F) in states/eV per cell: 3.9
&SYSTEM
  ibrav = 0, nat = 5, ntyp = 4
/
ATOMIC_SPECIES
P 30.97 P.upf
Hf 178.49 Hf.upf
O 16.00 O.upf
Be 9.01 Be.upf
CELL_PARAMETERS angstrom
4.960 0.000 0.000
0.000 4.960 0.000
0.000 0.000 2.880
ATOMIC_POSITIONS crystal
P 0.000 0.500 0.000
P 0.500 0.000 0.000
Hf 0.500 0.500 0.500
O 0.000 0.000 0.500
Be 0.000 0.000 0.000

---

[26]
! HfBeP2O (PBE, relaxed); values from VASP
! Energy relative to the elements, uncorrected in eV/atom: -0.038
! Polymorph energy (0 for the lowest one) in eV per atom: 0.526
! D(E_F) in states/eV per cell: 4.8
&SYSTEM
  ibrav = 0, nat = 5, ntyp = 4
/
ATOMIC_SPECIES
P 30.97 P.upf
Hf 178.49 Hf.upf
O 16.00 O.upf
Be 9.01 Be.upf
CELL_PARAMETERS angstrom
-2.032 -3.349 -3.305
-2.066 -2.600 3.904
-3.209 2.186 -0.242
ATOMIC_POSITIONS crystal
P 0.000 0.500 0.000
P 0.500 0.000 0.000
Hf 0.000 0.000 0.000
O 0.000 0.000 0.500
Be 0.500 0.500 0.500

---

[27]
! RbHfBeO2 (PBE, relaxed); values from VASP
! Energy relative to the elements, uncorrected in eV/atom: 1.206
! D(E_F) in states/eV per cell: 3.4
&SYSTEM
  ibrav = 0, nat = 5, ntyp = 4
/
ATOMIC_SPECIES
Be 9.01 Be.upf
Hf 178.49 Hf.upf
O 16.00 O.upf
Rb 85.47 Rb.upf
CELL_PARAMETERS angstrom
-3.023 -2.407 -2.177
2.937 -3.513 -0.195
-1.566 -1.524 3.860
ATOMIC_POSITIONS crystal
Be 0.000 0.500 0.000
Hf 0.500 0.500 0.500
O 0.000 0.000 0.500
O 0.500 0.000 0.000
Rb 0.000 0.000 0.000